1.
First-principles (GGA-PBE) data for a geometry-optimized Tl2Ga2Pb structure, as listed in Alexandria via LeMat-Bulk.

Structure (CIF):
```
data_Tl2Ga2Pb
_chemical_formula_sum 'Tl4 Ga4 Pb2'
_cell_length_a 8.625
_cell_length_b 8.625
_cell_length_c 3.650
_cell_angle_alpha 90.00
_cell_angle_beta 90.00
_cell_angle_gamma 90.00
_space_group_name_H-M_alt 'P 4/m b m'
_space_group_IT_number 127
_space_group_name_Hall '-P 4 2ab'
loop_
_atom_site_label
_atom_site_fract_x
_atom_site_fract_y
_atom_site_fract_z
Tl1 0.136 0.364 0.000
Ga1 0.166 0.666 0.500
Pb1 0.000 0.000 0.000
```

Output
* total DFT energy (no corrections): -27.5 eV for the cell shown
* calculated formation energy: 0.145 eV per atom
* polymorph energy (0 for the lowest one): 73 meV per atom



2.
First-principles (GGA-PBE) data for a geometry-optimized Tl4GaPb3 structure, as listed in Alexandria via LeMat-Bulk.

Structure (CIF):
```
data_Tl4GaPb3
_chemical_formula_sum 'Tl8 Ga2 Pb6'
_cell_length_a 27.163
_cell_length_b 5.116
_cell_length_c 3.507
_cell_angle_alpha 90.00
_cell_angle_beta 96.20
_cell_angle_gamma 90.00
_space_group_name_H-M_alt 'C 1 2/m 1'
_space_group_IT_number 12
loop_
_space_group_symop_operation_xyz
'x,y,z'
'-x,-y,-z'
'-x,y,-z'
'x,-y,z'
'x+1/2,y+1/2,z'
'-x+1/2,-y+1/2,-z'
'-x+1/2,y+1/2,-z'
'x+1/2,-y+1/2,z'
loop_
_atom_site_label
_atom_site_fract_x
_atom_site_fract_y
_atom_site_fract_z
Tl1 0.095 0.000 0.105
Tl2 0.219 0.000 0.232
Ga1 0.000 0.000 0.500
Pb1 0.000 0.500 0.000
Pb2 0.153 0.500 0.675
```

Output
* total DFT energy (no corrections): -46.1 eV for the cell shown
* calculated formation energy: 0.073 eV per atom



3.
First-principles (GGA-PBE) data for a geometry-optimized Tl2GaPb2 structure, as listed in Alexandria via LeMat-Bulk.

Structure (CIF):
```
data_Tl2GaPb2
_chemical_formula_sum 'Tl4 Ga2 Pb4'
_cell_length_a 5.010
_cell_length_b 4.969
_cell_length_c 11.906
_cell_angle_alpha 90.00
_cell_angle_beta 101.61
_cell_angle_gamma 90.00
_space_group_name_H-M_alt 'C 1 2/m 1'
_space_group_IT_number 12
loop_
_space_group_symop_operation_xyz
'x,y,z'
'-x,-y,-z'
'-x,y,-z'
'x,-y,z'
'x+1/2,y+1/2,z'
'-x+1/2,-y+1/2,-z'
'-x+1/2,y+1/2,-z'
'x+1/2,-y+1/2,z'
loop_
_atom_site_label
_atom_site_fract_x
_atom_site_fract_y
_atom_site_fract_z
Tl1 0.195 0.000 0.390
Ga1 0.000 0.000 0.000
Pb1 0.086 0.500 0.173
```

Output
* total DFT energy (no corrections): -30.2 eV for the cell shown
* calculated formation energy: 0.020 eV per atom
* polymorph energy (0 for the lowest one): 0 meV per atom



4.
First-principles (GGA-PBE) data for a geometry-optimized TlGa2Pb6 structure, as listed in Alexandria via LeMat-Bulk.

Structure (CIF):
```
data_TlGa2Pb6
_chemical_formula_sum 'Tl2 Ga4 Pb12'
_cell_length_a 5.730
_cell_length_b 10.223
_cell_length_c 9.425
_cell_angle_alpha 90.00
_cell_angle_beta 107.57
_cell_angle_gamma 90.00
_space_group_name_H-M_alt 'C 1 2/m 1'
_space_group_IT_number 12
loop_
_space_group_symop_operation_xyz
'x,y,z'
'-x,-y,-z'
'-x,y,-z'
'x,-y,z'
'x+1/2,y+1/2,z'
'-x+1/2,-y+1/2,-z'
'-x+1/2,y+1/2,-z'
'x+1/2,-y+1/2,z'
loop_
_atom_site_label
_atom_site_fract_x
_atom_site_fract_y
_atom_site_fract_z
Tl1 0.000 0.000 0.000
Ga1 0.000 0.249 0.500
Pb1 0.100 0.338 0.192
Pb2 0.192 0.000 0.376
```

Output
* total DFT energy (no corrections): -60.5 eV for the cell shown
* calculated formation energy: 0.048 eV per atom